4
Lattice="0.0000 3.1029 3.1029 3.1029 0.0000 3.1029 3.1029 3.1029 0.0000" Properties=species:S:1:pos:R:3 comment="CaTcF2 | the Alexandria database | PBE-GGA | relaxed" m_tot_mub_per_fu=3.349 n_ef_per_ev_fu=3.05 vol_a3_per_cell=59.8 formation_energy_uncorrected_kj_per_mol_atoms=-98.36 polymorph_energy_ev_per_atom=0.604 dft_energy_ev_per_atom=-5.047 sg="No. 225" pbc="T T T"
F 1.5515 1.5515 1.5515
Ca 0.0000 0.0000 0.0000
F 4.6544 4.6544 4.6544
Tc 3.1029 3.1029 3.1029